(1)
InPbAu6: relaxed, PBE.

a b c (Å): 4.6161 6.3529 5.5424
angles (deg): 90.00 90.00 90.00
Fractional coordinates of all 8 atoms:
In1 0.0000 0.0000 0.0000
Pb1 0.5000 0.5000 0.7045
Au1 0.0000 0.2328 0.5168
Au2 0.0000 0.5000 0.0920
Au3 0.0000 0.7672 0.5168
Au4 0.5000 0.0000 0.6823
Au5 0.5000 0.2331 0.1883
Au6 0.5000 0.7669 0.1883

Properties
energy of formation: -0.05 eV/atom
magnetization: 0.0 μB per formula unit
space-group type: Pmm2, No. 25
E_tot: -3.32 eV/atom
relative energy among the computed polymorphs: 0.0 meV per atom


(2)
In2Pb2Au5: relaxed, PBE.

a b c (Å): 8.5965 8.5965 7.4771
angles (deg): 90.00 90.00 50.36
Fractional coordinates of all 18 atoms:
In1 0.1545 0.8455 0.8404
In2 0.3455 0.6545 0.3404
In3 0.6545 0.3455 0.6596
In4 0.8455 0.1545 0.1596
Pb1 0.2014 0.2014 0.5000
Pb2 0.2986 0.2986 0.0000
Pb3 0.7014 0.7014 0.0000
Pb4 0.7986 0.7986 0.5000
Au1 0.0000 0.0000 0.5000
Au2 0.0179 0.7278 0.1361
Au3 0.2278 0.5179 0.6361
Au4 0.2722 0.9821 0.1361
Au5 0.4821 0.7722 0.6361
Au6 0.5000 0.5000 0.0000
Au7 0.5179 0.2278 0.3639
Au8 0.7278 0.0179 0.8639
Au9 0.7722 0.4821 0.3639
Au10 0.9821 0.2722 0.8639

Properties
energy of formation: -0.04 eV/atom
magnetization: 0.0 μB per formula unit
space-group type: Cmce, No. 64
E_tot: -3.29 eV/atom


(3)
InPdPbAu: relaxed, PBE.

a b c (Å): 4.9465 4.9465 4.9465
angles (deg): 60.00 60.00 60.00
Fractional coordinates of all 4 atoms:
In1 0.0000 0.0000 0.0000
Pd1 0.7500 0.7500 0.7500
Pb1 0.5000 0.5000 0.5000
Au1 0.2500 0.2500 0.2500

Properties
energy of formation: -0.11 eV/atom
magnetization: 0.0 μB per formula unit
space-group type: F-43m, No. 216
E_tot: -3.84 eV/atom


(4)
Rb2In3PbAu4: relaxed, PBE.

a b c (Å): 5.1256 5.1256 10.9404
angles (deg): 90.00 90.00 90.00
Fractional coordinates of all 10 atoms:
Rb1 0.0000 0.5000 0.2387
Rb2 0.5000 0.0000 0.7613
In1 0.0000 0.5000 0.8868
In2 0.5000 0.0000 0.1132
In3 0.5000 0.5000 0.5000
Pb1 0.0000 0.0000 0.5000
Au1 0.0000 0.0000 0.0000
Au2 0.0000 0.5000 0.6296
Au3 0.5000 0.0000 0.3704
Au4 0.5000 0.5000 0.0000

Properties
energy of formation: -0.25 eV/atom
magnetization: 0.0 μB per formula unit
space-group type: P-4m2, No. 115
E_tot: -2.95 eV/atom


(5)
RbIn4PbAu2: relaxed, PBE.

a b c (Å): 5.5650 5.5650 8.8384
angles (deg): 90.00 90.00 90.00
Fractional coordinates of all 8 atoms:
Rb1 0.0000 0.0000 0.0000
In1 0.0000 0.5000 0.3102
In2 0.0000 0.5000 0.6898
In3 0.5000 0.0000 0.3102
In4 0.5000 0.0000 0.6898
Pb1 0.0000 0.0000 0.5000
Au1 0.5000 0.5000 0.3343
Au2 0.5000 0.5000 0.6657

Properties
energy of formation: -0.01 eV/atom
magnetization: 0.0 μB per formula unit
space-group type: P4/mmm, No. 123
E_tot: -2.79 eV/atom


(6)
Rb2InPbAu6: relaxed, PBE.

a b c (Å): 7.6881 7.6881 7.5512
angles (deg): 119.31 119.31 91.60
Fractional coordinates of all 10 atoms:
Rb1 0.2092 0.7908 0.0000
Rb2 0.7908 0.2092 0.0000
In1 0.5000 0.5000 0.5000
Pb1 0.0000 0.0000 0.5000
Au1 0.2547 0.7453 0.5000
Au2 0.3194 0.3194 0.0056
Au3 0.3186 0.3186 0.6312
Au4 0.6814 0.6814 0.3688
Au5 0.6806 0.6806 0.9944
Au6 0.7453 0.2547 0.5000

Properties
energy of formation: -0.11 eV/atom
magnetization: 0.0 μB per formula unit
space-group type: C2/m, No. 12
E_tot: -2.92 eV/atom